[1]
The following is a PBE calculation of an optimized crystal structure of La6As5F, from the Alexandria database.

Cell: 7.4662 12.9236 7.4647 Å, 90.00 109.53 90.00°
Space group C2/m (No. 12)
One atom of each set of equivalent atoms:
La (0.2486, 0.0000, 0.2531)
La (0.2496, 0.1673, 0.7500)
As (0.0000, 0.0000, 0.5000)
As (0.0000, 0.1665, 0.0000)
As (0.0000, 0.3318, 0.5000)
F (0.0000, 0.5000, 0.0000)


[2]
The following is a PBE calculation of an optimized crystal structure of LaAsF, from the Alexandria database.

Cell: 3.4274 3.4274 10.8444 Å, 90.00 90.00 90.00°
Space group I4mm (No. 107)
One atom of each set of equivalent atoms:
La (0.0000, 0.0000, 0.0000)
As (0.0000, 0.0000, 0.2972)
F (0.0000, 0.0000, 0.5769)

## Properties
- Energy relative to the lowest polymorph listed for this composition: 0.327 eV/atom


[3]
The following is a PBE calculation of an optimized crystal structure of LaAsF2, from the Alexandria database.

Cell: 3.4170 3.4170 30.7642 Å, 90.00 90.00 120.00°
Space group R-3m (No. 166, hexagonal axes)
One atom of each set of equivalent atoms:
La (0.0000, 0.0000, 0.0000)
As (0.0000, 0.0000, 0.5000)
F (0.0000, 0.0000, 0.3798)

## Properties
- Energy relative to the lowest polymorph listed for this composition: 0.506 eV/atom


[4]
The following is a PBE calculation of an optimized crystal structure of LaAs2F8, from the Alexandria database.

Cell: 10.6608 5.1620 6.0802 Å, 90.00 95.93 90.00°
Space group C2/m (No. 12)
One atom of each set of equivalent atoms:
La (0.0000, 0.0000, 0.0000)
As (0.2465, 0.0000, 0.6084)
F (0.0923, 0.0000, 0.3548)
F (0.1122, 0.5000, 0.1677)
F (0.1565, 0.2295, 0.7858)


[5]
The following is a PBE calculation of an optimized crystal structure of La2AsF, from the Alexandria database.

Cell: 4.1350 4.1350 19.3618 Å, 90.00 90.00 120.00°
Space group R-3m (No. 166, hexagonal axes)
One atom of each set of equivalent atoms:
La (0.0000, 0.0000, 0.2429)
As (0.0000, 0.0000, 0.0000)
F (0.0000, 0.0000, 0.5000)

## Properties
- Energy relative to the lowest polymorph listed for this composition: 0.000 eV/atom


[6]
The following is a PBE calculation of an optimized crystal structure of La2AsF2, from the Alexandria database.

Cell: 3.8840 3.8840 13.4616 Å, 90.00 90.00 90.00°
Space group I4/mmm (No. 139)
One atom of each set of equivalent atoms:
La (0.0000, 0.0000, 0.1261)
As (0.0000, 0.0000, 0.5000)
F (0.0000, 0.5000, 0.2500)


[7]
The following is a PBE calculation of an optimized crystal structure of LaAsF2, from the Alexandria database.

Cell: 4.4853 4.4853 16.2297 Å, 90.00 90.00 90.00°
Space group I-42d (No. 122)
One atom of each set of equivalent atoms:
La (0.0000, 0.0000, 0.0000)
As (0.0000, 0.0000, 0.5000)
F (0.1820, 0.2500, 0.1250)

## Properties
- Energy relative to the lowest polymorph listed for this composition: 0.191 eV/atom


[8]
The following is a PBE calculation of an optimized crystal structure of La2AsF, from the Alexandria database.

Cell: 6.3150 6.3150 12.5541 Å, 90.00 90.00 90.00°
Space group I-42d (No. 122)
One atom of each set of equivalent atoms:
La (0.2140, 0.2500, 0.1250)
As (0.0000, 0.0000, 0.5000)
F (0.0000, 0.0000, 0.0000)

## Properties
- Energy relative to the lowest polymorph listed for this composition: 0.359 eV/atom


Number 1: electronic total energy -6.312 eV/atom. Number 2: electronic total energy -5.752 eV/atom. Number 3: electronic total energy -5.275 eV/atom. Number 4: electronic total energy -5.238 eV/atom. Number 5: electronic total energy -6.128 eV/atom. Number 6: electronic total energy -6.398 eV/atom. Number 7: electronic total energy -5.590 eV/atom. Number 8: electronic total energy -5.769 eV/atom.